1.
! AcGaHgSb | Alexandria | GGA-PBE | relaxed; values from VASP
! - total energy (eV/atom) = -3.28
! - formation energy from raw total energies (eV per atom) = -0.395
! - size of the total moment (μB/atom) = 0.000
&SYSTEM
  ibrav = 0, nat = 4, ntyp = 4
/
ATOMIC_SPECIES
Sb 121.76 Sb.upf
Ac 227.00 Ac.upf
Hg 200.59 Hg.upf
Ga 69.72 Ga.upf
CELL_PARAMETERS angstrom
5.506 0.000 0.000
2.753 4.768 0.000
2.753 1.589 4.495
ATOMIC_POSITIONS angstrom
Sb 5.506 3.179 2.248
Ac 8.259 4.768 3.372
Hg 0.000 0.000 0.000
Ga 2.753 1.589 1.124


2.
! GaSb3F | Alexandria | GGA-PBE | relaxed; values from VASP
! - total energy (eV/atom) = -3.52
! - formation energy from raw total energies (eV per atom) = -0.064
! - relative energy among the computed polymorphs (kJ per mole of atoms) = 0.0
! - size of the total moment (μB/atom) = 0.000
&SYSTEM
  ibrav = 0, nat = 5, ntyp = 3
/
ATOMIC_SPECIES
Sb 121.76 Sb.upf
Ga 69.72 Ga.upf
F 19.00 F.upf
CELL_PARAMETERS angstrom
4.975 0.000 0.000
0.000 4.975 0.000
0.000 0.000 4.975
ATOMIC_POSITIONS angstrom
Sb 0.000 2.488 0.000
Sb 0.000 0.000 2.488
Sb 2.488 0.000 0.000
Ga 2.488 2.488 2.488
F 0.000 0.000 0.000